Density functional theory data (PBE) for crystalline ErSi3Os3 at its relaxed geometry. Values from VASP.

Values from the calculation:
The calculation puts the total energy at -7.9968 eV/atom. Its theoretical density is 10.92 g/cm3. The crystal system is trigonal. Its space-group type is R-3, No. 148.

Structure (Quantum ESPRESSO input):
```
&SYSTEM
  ibrav = 0, nat = 14, ntyp = 3
/
ATOMIC_SPECIES
Os 190.23 Os.upf
Si 28.09 Si.upf
Er 167.26 Er.upf
CELL_PARAMETERS angstrom
-5.036 3.997 -1.632
-6.226 -2.286 0.132
-4.306 2.435 5.768
ATOMIC_POSITIONS crystal
Os 0.487 0.246 0.357
Si 0.810 0.348 0.732
Os 0.090 0.513 0.643
Os 0.910 0.487 0.357
Os 0.513 0.754 0.643
Si 0.348 0.110 0.732
Er 0.335 0.335 0.996
Si 0.190 0.652 0.268
Si 0.110 0.810 0.732
Si 0.890 0.190 0.268
Er 0.665 0.665 0.004
Os 0.754 0.090 0.643
Si 0.652 0.890 0.268
Os 0.246 0.910 0.357
```

Density functional theory data (PBE) for crystalline RbBa3Nb at its relaxed geometry. Values from VASP.

Values from the calculation:
Its theoretical density is 4.08 g/cm3. The energy of formation from the pure elements is 824 kJ/mol of formula units. The crystal system is cubic. Its space-group type is Pm-3m, No. 221.

Structure (Quantum ESPRESSO input):
```
&SYSTEM
  ibrav = 0, nat = 5, ntyp = 3
/
ATOMIC_SPECIES
Nb 92.91 Nb.upf
Ba 137.33 Ba.upf
Rb 85.47 Rb.upf
CELL_PARAMETERS angstrom
-5.324 3.203 0.259
-1.716 -3.258 5.011
2.716 4.219 3.673
ATOMIC_POSITIONS crystal
Nb 0.500 0.500 0.500
Ba 0.500 0.000 0.000
Rb 0.000 0.000 0.000
Ba 0.000 0.000 0.500
Ba 0.000 0.500 0.000
```

Density functional theory data (PBE) for crystalline Dy4YSb5 at its relaxed geometry. Values from VASP.

Values from the calculation:
The calculation puts the total energy at -5.6884 eV/atom. Its theoretical density is 7.50 g/cm3. The crystal system is orthorhombic. Its space-group type is Immm, No. 71.

Structure (Quantum ESPRESSO input):
```
&SYSTEM
  ibrav = 0, nat = 10, ntyp = 3
/
ATOMIC_SPECIES
Dy 162.50 Dy.upf
Sb 121.76 Sb.upf
Y 88.91 Y.upf
CELL_PARAMETERS angstrom
-0.980 2.550 -3.433
3.941 -3.235 -3.528
-9.582 -6.504 0.709
ATOMIC_POSITIONS crystal
Dy 0.800 0.800 0.600
Dy 0.200 0.200 0.400
Sb 0.400 0.900 0.800
Sb 0.000 0.500 0.000
Sb 0.800 0.300 0.600
Sb 0.600 0.100 0.200
Dy 0.400 0.400 0.800
Y 0.000 0.000 0.000
Sb 0.200 0.700 0.400
Dy 0.600 0.600 0.200
```

Density functional theory data (PBE) for crystalline AcTbTmLu at its relaxed geometry. Values from VASP.

Values from the calculation:
Its theoretical density is 8.91 g/cm3. The energy of formation from the pure elements is 42 kJ/mol of formula units. The crystal system is cubic. Its space-group type is F-43m, No. 216.

Structure (Quantum ESPRESSO input):
```
&SYSTEM
  ibrav = 0, nat = 4, ntyp = 4
/
ATOMIC_SPECIES
Lu 174.97 Lu.upf
Ac 227.00 Ac.upf
Tm 168.93 Tm.upf
Tb 158.93 Tb.upf
CELL_PARAMETERS angstrom
-3.292 -4.742 -0.069
0.907 -4.085 -3.976
2.238 -5.090 1.550
ATOMIC_POSITIONS crystal
Lu 0.000 0.000 0.000
Ac 0.250 0.250 0.250
Tm 0.500 0.500 0.500
Tb 0.750 0.750 0.750
```

Density functional theory data (PBE) for crystalline GaSn3C at its relaxed geometry. Values from VASP.

Values from the calculation:
Its theoretical density is 4.88 g/cm3. The energy of formation from the pure elements is 810 kJ/mol of formula units. The crystal system is cubic. Its space-group type is Pm-3m, No. 221.

Structure (Quantum ESPRESSO input):
```
&SYSTEM
  ibrav = 0, nat = 5, ntyp = 3
/
ATOMIC_SPECIES
Sn 118.71 Sn.upf
Ga 69.72 Ga.upf
C 12.01 C.upf
CELL_PARAMETERS angstrom
5.301 0.000 0.000
0.000 5.301 0.000
0.000 0.000 5.301
ATOMIC_POSITIONS crystal
Sn 0.000 0.500 0.000
Ga 0.000 0.000 0.000
Sn 0.500 0.000 0.000
C 0.500 0.500 0.500
Sn 0.000 0.000 0.500
```

Density functional theory data (PBE) for crystalline CePrTeP at its relaxed geometry. Values from VASP.

Values from the calculation:
The calculation puts the total energy at -6.2964 eV/atom. Its theoretical density is 6.33 g/cm3. The crystal system is trigonal. Its space-group type is R3m, No. 160.

Structure (Quantum ESPRESSO input):
```
&SYSTEM
  ibrav = 0, nat = 4, ntyp = 4
/
ATOMIC_SPECIES
Pr 140.91 Pr.upf
Ce 140.12 Ce.upf
P 30.97 P.upf
Te 127.60 Te.upf
CELL_PARAMETERS angstrom
-0.134 -4.190 0.414
2.886 1.778 -2.501
3.885 2.620 6.346
ATOMIC_POSITIONS crystal
Pr 0.495 0.146 0.656
Ce 0.109 0.953 0.077
P 0.309 0.552 0.877
Te 0.964 0.380 0.360
```

Density functional theory data (PBE) for crystalline LiCdTcH2 at its relaxed geometry. Values from VASP.

Values from the calculation:
The calculation puts the total energy at -2.8903 eV/atom. Its theoretical density is 5.12 g/cm3. The crystal system is tetragonal. Its space-group type is P4/mmm, No. 123.

Structure (Quantum ESPRESSO input):
```
&SYSTEM
  ibrav = 0, nat = 5, ntyp = 4
/
ATOMIC_SPECIES
H 1.01 H.upf
Cd 112.41 Cd.upf
Tc 98.00 Tc.upf
Li 6.94 Li.upf
CELL_PARAMETERS angstrom
-1.406 1.309 3.113
2.296 -3.966 2.705
2.986 2.058 0.483
ATOMIC_POSITIONS crystal
H 0.500 0.000 0.000
Cd 0.000 0.000 0.000
H 0.000 0.000 0.500
Tc 0.500 0.500 0.500
Li 0.000 0.500 0.000
```

Density functional theory data (PBE) for crystalline Pm3Dy4Zn4 at its relaxed geometry. Values from VASP.

Values from the calculation:
Its theoretical density is 7.57 g/cm3. The energy of formation from the pure elements is -142 kJ/mol of formula units. The crystal system is orthorhombic. Its space-group type is Immm, No. 71.

Structure (Quantum ESPRESSO input):
```
&SYSTEM
  ibrav = 0, nat = 11, ntyp = 3
/
ATOMIC_SPECIES
Dy 162.50 Dy.upf
Zn 65.41 Zn.upf
Pm 145.00 Pm.upf
CELL_PARAMETERS angstrom
4.912 0.000 0.000
0.000 7.638 0.000
-2.456 -3.819 7.874
ATOMIC_POSITIONS crystal
Dy 0.327 0.111 0.653
Zn 0.500 0.169 0.000
Dy 0.673 0.889 0.347
Zn 0.500 0.831 0.000
Zn 0.205 0.705 0.409
Pm 0.110 0.110 0.220
Dy 0.327 0.543 0.653
Pm 0.000 0.500 0.000
Zn 0.795 0.295 0.591
Dy 0.673 0.457 0.347
Pm 0.890 0.890 0.780
```

Density functional theory data (PBE) for crystalline La2Tb2SmDy2 at its relaxed geometry. Values from VASP.

Values from the calculation:
Its theoretical density is 7.56 g/cm3. The energy of formation from the pure elements is 19 kJ/mol of formula units. The crystal system is monoclinic. Its space-group type is C2/m, No. 12.

Structure (Quantum ESPRESSO input):
```
&SYSTEM
  ibrav = 0, nat = 7, ntyp = 4
/
ATOMIC_SPECIES
Tb 158.93 Tb.upf
La 138.91 La.upf
Dy 162.50 Dy.upf
Sm 150.36 Sm.upf
CELL_PARAMETERS angstrom
5.120 0.000 0.000
-2.560 5.720 0.285
0.000 -1.546 7.956
ATOMIC_POSITIONS crystal
Tb 0.571 0.142 0.719
La 0.857 0.715 0.573
Dy 0.284 0.569 0.861
Tb 0.429 0.858 0.281
La 0.143 0.285 0.427
Sm 0.000 0.000 0.000
Dy 0.716 0.431 0.139
```

Density functional theory data (PBE) for crystalline Pm8NiOs3Br4 at its relaxed geometry. Values from VASP.

Values from the calculation:
The calculation puts the total energy at -5.9746 eV/atom. Its theoretical density is 7.78 g/cm3. The crystal system is trigonal. Its space-group type is R-3m, No. 166.

Structure (Quantum ESPRESSO input):
```
&SYSTEM
  ibrav = 0, nat = 16, ntyp = 4
/
ATOMIC_SPECIES
Br 79.90 Br.upf
Os 190.23 Os.upf
Pm 145.00 Pm.upf
Ni 58.69 Ni.upf
CELL_PARAMETERS angstrom
-3.068 -7.103 2.561
0.388 -3.242 -8.526
6.978 2.798 3.152
ATOMIC_POSITIONS crystal
Br 0.000 0.000 0.000
Br 0.500 0.000 0.000
Os 0.500 0.500 0.500
Pm 0.766 0.304 0.038
Os 0.000 0.500 0.500
Pm 0.267 0.300 0.533
Pm 0.234 0.696 0.468
Pm 0.728 0.696 0.962
Pm 0.272 0.304 0.038
Pm 0.234 0.696 0.962
Os 0.500 0.500 0.000
Br 0.500 0.000 0.500
Br 0.000 0.000 0.500
Pm 0.766 0.304 0.532
Ni 0.000 0.500 0.000
Pm 0.733 0.700 0.467
```

Density functional theory data (PBE) for crystalline Cs3SnCl at its relaxed geometry. Values from VASP.

Values from the calculation:
The calculation puts the total energy at -2.3729 eV/atom. Its theoretical density is 3.13 g/cm3. The crystal system is cubic. Its space-group type is Pm-3m, No. 221.

Structure (Quantum ESPRESSO input):
```
&SYSTEM
  ibrav = 0, nat = 5, ntyp = 3
/
ATOMIC_SPECIES
Cl 35.45 Cl.upf
Cs 132.91 Cs.upf
Sn 118.71 Sn.upf
CELL_PARAMETERS angstrom
-5.896 0.851 -2.937
-2.208 -5.598 2.812
-2.115 3.472 5.252
ATOMIC_POSITIONS crystal
Cl 0.000 0.000 0.000
Cs 0.000 0.000 0.500
Cs 0.000 0.500 0.000
Cs 0.500 0.000 0.000
Sn 0.500 0.500 0.500
```

Density functional theory data (PBE) for crystalline Er12GaCo5 at its relaxed geometry. Values from VASP.

Values from the calculation:
Its theoretical density is 9.51 g/cm3. The energy of formation from the pure elements is -461 kJ/mol of formula units. The crystal system is orthorhombic. Its space-group type is Immm, No. 71.

Structure (Quantum ESPRESSO input):
```
&SYSTEM
  ibrav = 0, nat = 18, ntyp = 3
/
ATOMIC_SPECIES
Er 167.26 Er.upf
Co 58.93 Co.upf
Ga 69.72 Ga.upf
CELL_PARAMETERS angstrom
7.609 -0.018 -2.887
-3.983 6.688 -2.374
0.011 0.018 8.138
ATOMIC_POSITIONS crystal
Er 0.897 0.185 0.712
Er 0.192 0.409 0.217
Er 0.303 0.316 0.619
Er 0.192 0.975 0.783
Co 0.500 0.886 0.386
Er 0.103 0.815 0.288
Er 0.808 0.025 0.217
Co 0.374 0.374 0.000
Co 0.000 0.000 0.000
Er 0.808 0.591 0.783
Co 0.500 0.114 0.614
Er 0.303 0.684 0.986
Co 0.626 0.626 0.000
Er 0.697 0.316 0.014
Er 0.697 0.684 0.381
Ga 0.000 0.500 0.500
Er 0.473 0.185 0.288
Er 0.527 0.815 0.712
```